Entry 1:
{
  "formula": "SiMoP2",
  "functional": "PBE",
  "state": "optimized geometry",
  "lattice_angstrom": [[3.047, 0.000, 0.000], [0.000, 3.047, 0.000], [0.000, 0.000, 6.252]],
  "species": ["Mo", "P", "P", "Si"],
  "frac_coords": [[0.500, 0.500, 0.750], [0.000, 0.000, 0.970], [0.000, 0.000, 0.530], [0.500, 0.500, 0.250]],
  "e_tot_ev_per_atom": -6.74,
  "magmom_total_mub_per_cell": 0.0,
  "mass_density_g_cm3": 5.32,
  "raw_formation_energy_mev_per_atom": 24,
  "de_polymorph_ev_per_fu": 0.60
}

Entry 2:
{
  "formula": "Si4Mo3P2",
  "functional": "PBE",
  "state": "optimized geometry",
  "lattice_angstrom": [[6.946, 0.000, 0.000], [0.000, 6.039, 0.001], [0.000, 0.976, 6.525]],
  "species": ["P", "P", "P", "P", "Mo", "Mo", "Mo", "Mo", "Mo", "Mo", "Si", "Si", "Si", "Si", "Si", "Si", "Si", "Si"],
  "frac_coords": [[0.854, 0.562, 0.566], [0.354, 0.938, 0.434], [0.146, 0.438, 0.434], [0.646, 0.062, 0.566], [0.000, 0.000, 0.000], [0.500, 0.500, 0.000], [0.843, 0.290, 0.292], [0.343, 0.210, 0.708], [0.157, 0.710, 0.708], [0.657, 0.790, 0.292], [0.852, 0.626, 0.986], [0.352, 0.874, 0.014], [0.148, 0.374, 0.014], [0.648, 0.126, 0.986], [0.017, 0.886, 0.362], [0.517, 0.614, 0.638], [0.983, 0.114, 0.638], [0.483, 0.386, 0.362]],
  "e_tot_ev_per_atom": -7.31,
  "magmom_total_mub_per_cell": 0.0,
  "mass_density_g_cm3": 5.61,
  "raw_formation_energy_mev_per_atom": -90
}